MnGaGeSe2: optimized geometry, GGA-PBE.

The structure in POSCAR format:
```
MnGaGeSe2
1.0
-3.3923 0.6109 0.8883
-1.6485 -3.1576 3.0068
2.1082 3.3027 6.0138
Se Ge Mn Ga
2 1 1 1
direct
0.4187 0.5566 0.5229
0.7433 0.9260 0.9546
0.4994 0.4088 0.0976
0.8852 0.6317 0.2699
0.1697 0.0607 0.3345
```

E above lowest polymorph: 195 meV/atom
Raw formation energy: -0.0711 eV/atom
V: 109 Å³ per cell